Entry from the Alexandria database: an optimized crystal structure of PrCd3Pd4 (PBE-GGA).

a b c (Å): 4.7404 4.7404 8.4014
angles (deg): 73.61 73.61 60.00
Atoms (fractional coordinates):
Pd 0.8740 0.8740 0.3780
Pd 0.3854 0.3854 0.8438
Pd 0.6146 0.6146 0.1562
Pd 0.1260 0.1260 0.6220
Cd 0.2466 0.2466 0.2601
Cd 0.5000 0.5000 0.5000
Cd 0.7534 0.7534 0.7399
Pr 0.0000 0.0000 0.0000

Results
Crystal system ... trigonal
Space-group type ... R-3m, No. 166
N(E_F) ... 3.851 states/eV/cell
Formation energy from the elements ... -0.496 eV/atom
Energy ... -4.0326 eV/atom